# 1
## K12Rb7Hg (PBE)

Data for a relaxed K12Rb7Hg crystal.

Cell lengths 14.9578, 14.9578, 14.9578 Å; angles 116.66, 116.66, 116.66 degrees
Closest atoms and distances in Å follow each position.
Fractional positions:
K  0.0000  0.4080  0.5920  3 K 4.30-4.69, 2 Rb 4.55
K  0.0000  0.5920  0.4080  3 K 4.30-4.69, 2 Rb 4.55
K  0.0528  0.0528  0.4116  1 K 4.15, 2 Rb 4.47-4.59
K  0.0528  0.4116  0.0528  1 K 4.15, 2 Rb 4.47-4.59
K  0.4080  0.0000  0.5920  3 K 4.30-4.69, 2 Rb 4.55
K  0.4080  0.5920  0.0000  3 K 4.30-4.69, 2 Rb 4.55
K  0.4116  0.0528  0.0528  1 K 4.15, 2 Rb 4.47-4.59
K  0.5884  0.9472  0.9472  1 K 4.15, 2 Rb 4.47-4.59
K  0.5920  0.0000  0.4080  3 K 4.30-4.69, 2 Rb 4.55
K  0.5920  0.4080  0.0000  3 K 4.30-4.69, 2 Rb 4.55
K  0.9472  0.5884  0.9472  1 K 4.15, 2 Rb 4.47-4.59
K  0.9472  0.9472  0.5884  1 K 4.15, 2 Rb 4.47-4.59
Rb  0.0000  0.0000  0.0000  2 Hg 4.15, 6 Rb 4.35
Rb  0.1636  0.3982  0.3982  1 Hg 3.76
Rb  0.3982  0.1636  0.3982  1 Hg 3.76
Rb  0.3982  0.3982  0.1636  1 Hg 3.76
Rb  0.6018  0.6018  0.8364  1 Hg 3.76
Rb  0.6018  0.8364  0.6018  1 Hg 3.76
Rb  0.8364  0.6018  0.6018  1 Hg 3.76
Hg  0.5000  0.5000  0.5000  8 Rb 3.76-4.15

Values from the calculation:
Calculated volume ... 1552.0 Å³ per cell
Total magnetic moment ... 0.0 μB per formula unit
Symmetry ... R-3m
Calculated formation energy ... 0.03 eV/atom
Fermi-level density of states ... 17.2 states/eV/cell
Density ... 1.357 g/cm3

# 2
## K5Rb3Hg3 (PBE)

Data for a relaxed K5Rb3Hg3 crystal.

Cell lengths 10.9334, 10.9334, 7.1414 Å; angles 90.00, 90.00, 120.00 degrees
Closest atoms and distances in Å follow each position.
Fractional positions:
K  0.0000  0.7519  0.0000  2 Hg 3.58
K  0.2481  0.2481  0.0000  2 Hg 3.58
K  0.3333  0.6667  0.0000  3 Hg 3.46
K  0.6667  0.3333  0.0000  3 Hg 3.46
K  0.7519  0.0000  0.0000  2 Hg 3.58
Rb  0.0000  0.3947  0.5000  2 Hg 3.58
Rb  0.3947  0.0000  0.5000  2 Hg 3.58
Rb  0.6053  0.6053  0.5000  2 Hg 3.58
Hg  0.0000  0.3706  0.0000  4 K 3.46-3.58, 2 Rb 3.58
Hg  0.3706  0.0000  0.0000  4 K 3.46-3.58, 2 Rb 3.58
Hg  0.6294  0.6294  0.0000  4 K 3.46-3.58, 2 Rb 3.58

Values from the calculation:
Calculated volume ... 739.3 Å³ per cell
Total magnetic moment ... 0.0 μB per formula unit
Symmetry ... P-62m
Calculated formation energy ... -0.08 eV/atom
Fermi-level density of states ... 6.6 states/eV/cell
Density ... 2.367 g/cm3

# 3
## KRb5Hg6 (PBE)

Data for a relaxed KRb5Hg6 crystal.

Cell lengths 10.9075, 10.9075, 6.6057 Å; angles 107.09, 107.09, 122.82 degrees
Closest atoms and distances in Å follow each position.
Fractional positions:
K  0.0000  0.0000  0.0000  8 Hg 3.51-3.64
Rb  0.1868  0.8132  0.5000  8 Hg 3.69-3.89
Rb  0.3504  0.6496  0.0000  8 Hg 3.87-4.24, 2 Rb 4.18
Rb  0.5000  0.5000  0.5000  8 Hg 4.01-4.28, 2 K 4.12, 4 Rb 4.37
Rb  0.6496  0.3504  0.0000  8 Hg 3.87-4.24, 2 Rb 4.18
Rb  0.8132  0.1868  0.5000  8 Hg 3.69-3.89
Hg  0.0314  0.3571  0.1893  1 Hg 3.20, 1 K 3.51
Hg  0.1844  0.1844  0.6790  1 Hg 3.04
Hg  0.3571  0.0314  0.1893  1 Hg 3.20, 1 K 3.51
Hg  0.6429  0.9686  0.8107  1 Hg 3.20, 1 K 3.51
Hg  0.8156  0.8156  0.3210  1 Hg 3.04
Hg  0.9686  0.6429  0.8107  1 Hg 3.20, 1 K 3.51

Values from the calculation:
Calculated volume ... 521.2 Å³ per cell
Total magnetic moment ... 0.0 μB per formula unit
Symmetry ... C2/m
Calculated formation energy ... -0.20 eV/atom
Fermi-level density of states ... 7.6 states/eV/cell
Density ... 5.320 g/cm3

# 4
## KRbHg17 (PBE)

Data for a relaxed KRbHg17 crystal.

Cell lengths 8.3947, 8.3947, 8.3947 Å; angles 79.86, 79.86, 79.86 degrees
Closest atoms and distances in Å follow each position.
Fractional positions:
K  0.0000  0.0000  0.0000  13 Hg 3.63-3.75
Rb  0.6762  0.6762  0.6762  15 Hg 3.81-4.04
Hg  0.0317  0.3268  0.6340  7 Hg 3.18-3.45
Hg  0.0317  0.6340  0.3268  7 Hg 3.18-3.45
Hg  0.1239  0.7106  0.7106  6 Hg 3.15-3.35
Hg  0.2164  0.2164  0.2164  4 Hg 3.11-3.12
Hg  0.3268  0.0317  0.6340  7 Hg 3.18-3.45
Hg  0.3268  0.6340  0.0317  7 Hg 3.18-3.45
Hg  0.3675  0.3675  0.7845  9 Hg 3.16-3.38
Hg  0.3675  0.7845  0.3675  9 Hg 3.16-3.38
Hg  0.4001  0.4001  0.4001  10 Hg 3.11-3.45
Hg  0.4423  0.9875  0.9875  7 Hg 3.12-3.35
Hg  0.6340  0.0317  0.3268  7 Hg 3.18-3.45
Hg  0.6340  0.3268  0.0317  7 Hg 3.18-3.45
Hg  0.7106  0.1239  0.7106  6 Hg 3.15-3.35
Hg  0.7106  0.7106  0.1239  6 Hg 3.15-3.35
Hg  0.7845  0.3675  0.3675  9 Hg 3.16-3.38
Hg  0.9875  0.4423  0.9875  7 Hg 3.12-3.35
Hg  0.9875  0.9875  0.4423  7 Hg 3.12-3.35

Values from the calculation:
Calculated volume ... 566.8 Å³ per cell
Total magnetic moment ... 0.0 μB per formula unit
Symmetry ... R3m
Calculated formation energy ... -0.11 eV/atom
Fermi-level density of states ... 7.0 states/eV/cell
Density ... 10.356 g/cm3

# 5
## K4Rb16Hg3 (PBE)

Data for a relaxed K4Rb16Hg3 crystal.

Cell lengths 9.5215, 9.5215, 19.1384 Å; angles 90.00, 90.00, 90.00 degrees
Closest atoms and distances in Å follow each position.
Fractional positions:
K  0.0000  0.5000  0.1940  12 Rb 4.76-5.01
K  0.0000  0.5000  0.8060  12 Rb 4.76-5.01
K  0.5000  0.0000  0.1940  12 Rb 4.76-5.01
K  0.5000  0.0000  0.8060  12 Rb 4.76-5.01
Rb  0.0000  0.0000  0.1911  1 Hg 3.66
Rb  0.0000  0.0000  0.8089  1 Hg 3.66
Rb  0.2491  0.2491  0.3875  2 Hg 4.00, 1 Rb 4.30
Rb  0.2491  0.2491  0.6125  2 Hg 4.00, 1 Rb 4.30
Rb  0.2491  0.7509  0.3875  2 Hg 4.00, 1 Rb 4.30
Rb  0.2491  0.7509  0.6125  2 Hg 4.00, 1 Rb 4.30
Rb  0.2620  0.2620  0.0000  1 Hg 3.53
Rb  0.2620  0.7380  0.0000  1 Hg 3.53
Rb  0.5000  0.5000  0.1971  4 K 4.76, 8 Rb 4.95-4.97
Rb  0.5000  0.5000  0.8029  4 K 4.76, 8 Rb 4.95-4.97
Rb  0.7380  0.2620  0.0000  1 Hg 3.53
Rb  0.7380  0.7380  0.0000  1 Hg 3.53
Rb  0.7509  0.2491  0.3875  2 Hg 4.00, 1 Rb 4.30
Rb  0.7509  0.2491  0.6125  2 Hg 4.00, 1 Rb 4.30
Rb  0.7509  0.7509  0.3875  2 Hg 4.00, 1 Rb 4.30
Rb  0.7509  0.7509  0.6125  2 Hg 4.00, 1 Rb 4.30
Hg  0.0000  0.0000  0.0000  6 Rb 3.53-3.66
Hg  0.0000  0.5000  0.5000  8 Rb 4.00
Hg  0.5000  0.0000  0.5000  8 Rb 4.00

Values from the calculation:
Calculated volume ... 1735.1 Å³ per cell
Total magnetic moment ... 0.0 μB per formula unit
Symmetry ... P4/mmm
Calculated formation energy ... -0.04 eV/atom
Fermi-level density of states ... 19.4 states/eV/cell
Density ... 2.034 g/cm3

# 6
## KRb6Hg (PBE)

Data for a relaxed KRb6Hg crystal.

Cell lengths 9.3432, 9.3629, 9.4334 Å; angles 64.62, 64.40, 64.78 degrees
Closest atoms and distances in Å follow each position.
Fractional positions:
K  0.0000  0.0000  0.0000  6 Rb 4.45-4.47
Rb  0.0597  0.5018  0.7082  1 Hg 3.71
Rb  0.2925  0.9374  0.4998  1 Hg 3.71
Rb  0.4999  0.2931  0.9343  1 Hg 3.71
Rb  0.5001  0.7069  0.0657  1 Hg 3.71
Rb  0.7075  0.0626  0.5002  1 Hg 3.71
Rb  0.9403  0.4982  0.2918  1 Hg 3.71
Hg  0.5000  0.5000  0.5000  6 Rb 3.71

Values from the calculation:
Calculated volume ... 642.3 Å³ per cell
Total magnetic moment ... 0.0 μB per formula unit
Symmetry ... P-1
Calculated formation energy ... 0.00 eV/atom
Fermi-level density of states ... 8.2 states/eV/cell
Density ... 1.945 g/cm3